# 1
5
Lattice="4.590 0.000 0.000 0.000 4.590 0.000 0.000 0.000 4.590" Properties=species:S:1:pos:R:3 comment="Al3TcW GGA-PBE relaxed" formation_enthalpy_0k_ev_per_atom=1.03 energy_ev_per_atom=-5.877 pbc="T T T"
Al 0.000 0.000 2.295
Al 0.000 2.295 0.000
Al 2.295 0.000 0.000
Tc 0.000 0.000 0.000
W 2.295 2.295 2.295



# 2
4
Lattice="2.762 -5.119 0.000 2.762 5.119 0.000 0.000 0.000 2.966" Properties=species:S:1:pos:R:3 comment="BaTa2Ru GGA-PBE relaxed" formation_enthalpy_0k_ev_per_atom=1.18 energy_ev_per_atom=-7.546 pbc="T T T"
Ba 0.000 0.000 0.000
Ta 1.381 2.559 1.483
Ta 1.381 -2.559 1.483
Ru 2.762 0.000 0.000



Number 1: total moment 2.487 μB per formula unit. Number 2: total moment 0.430 μB per formula unit.